CaSc4Mn: single point on PBEsol structure, meta-GGA SCAN.

Cell lengths 5.957, 5.957, 5.957 Å; angles 60.00, 60.00, 60.00 degrees
Element x y z (fractional)
Ca1 0.750 0.750 0.750
Mn1 0.000 0.000 0.000
Sc1 0.373 0.373 0.373
Sc2 0.373 0.373 0.881
Sc3 0.881 0.373 0.373
Sc4 0.373 0.881 0.373

- SG: F-43m, No. 216
- Energy of formation from the pure elements: 0.34 eV/atom



CaMnSe2: single point on PBEsol structure, meta-GGA SCAN.

Cell lengths 3.917, 3.916, 6.667 Å; angles 90.01, 90.00, 120.01 degrees
Element x y z (fractional)
Ca1 0.625 0.250 0.250
Mn1 0.625 0.250 0.750
Se1 0.958 0.917 0.973
Se2 0.292 0.583 0.527

- SG: P-3m1, No. 164
- Excess energy over the best structure of this formula in the dataset: 27 meV/atom
- Formation energy without anion corrections: -1535 meV/atom



Ca3MnSe: single point on PBEsol structure, meta-GGA SCAN.

Cell lengths 5.188, 5.188, 5.188 Å; angles 90.00, 90.00, 90.00 degrees
Element x y z (fractional)
Ca1 0.000 0.500 0.000
Ca2 0.000 0.000 0.500
Ca3 0.500 0.000 0.000
Mn1 0.000 0.000 0.000
Se1 0.500 0.500 0.500

- SG: Pm-3m, No. 221
- Formation energy without anion corrections: 89 meV/atom



CaMnSe2: single point on PBEsol structure, meta-GGA SCAN.

Cell lengths 3.982, 3.982, 6.836 Å; angles 73.07, 73.07, 60.00 degrees
Element x y z (fractional)
Ca1 0.000 0.000 0.000
Mn1 0.500 0.500 0.500
Se1 0.241 0.241 0.276
Se2 0.759 0.759 0.724

- SG: R-3m, No. 166
- Excess energy over the best structure of this formula in the dataset: 0 meV/atom
- Formation energy without anion corrections: -1562 meV/atom



CaMnSe2: single point on PBEsol structure, meta-GGA SCAN.

Cell lengths 4.895, 4.895, 4.895 Å; angles 60.00, 60.00, 60.00 degrees
Element x y z (fractional)
Ca1 0.500 0.500 0.500
Mn1 0.250 0.250 0.250
Se1 0.000 0.000 0.000
Se2 0.750 0.750 0.750

- SG: F-43m, No. 216
- Excess energy over the best structure of this formula in the dataset: 1191 meV/atom
- Formation energy without anion corrections: -371 meV/atom



CaMnSe2: single point on PBEsol structure, meta-GGA SCAN.

Cell lengths 3.441, 3.441, 6.906 Å; angles 90.00, 90.00, 90.00 degrees
Element x y z (fractional)
Ca1 0.500 0.500 0.000
Mn1 0.500 0.500 0.500
Se1 0.000 0.000 0.734
Se2 0.000 0.000 0.266

- SG: P4/mmm, No. 123
- Excess energy over the best structure of this formula in the dataset: 491 meV/atom
- Formation energy without anion corrections: -1071 meV/atom



CaMnSe2: single point on PBEsol structure, meta-GGA SCAN.

Cell lengths 3.984, 3.984, 5.621 Å; angles 90.00, 90.00, 89.98 degrees
Element x y z (fractional)
Ca1 0.626 0.375 0.000
Mn1 0.124 0.875 0.500
Se1 0.126 0.875 0.000
Se2 0.625 0.376 0.500

- SG: Amm2, No. 38
- Excess energy over the best structure of this formula in the dataset: 47 meV/atom
- Formation energy without anion corrections: -1515 meV/atom



Ca2MnSe: single point on PBEsol structure, meta-GGA SCAN.

Cell lengths 4.194, 4.194, 6.320 Å; angles 109.38, 109.38, 90.00 degrees
Element x y z (fractional)
Ca1 0.000 0.000 0.000
Ca2 0.750 0.250 0.500
Mn1 0.500 0.500 0.000
Se1 0.250 0.750 0.500

- SG: I-4m2, No. 119
- Formation energy without anion corrections: -591 meV/atom



CaMnSe4: single point on PBEsol structure, meta-GGA SCAN.

Cell lengths 5.733, 5.733, 5.733 Å; angles 60.00, 60.00, 60.00 degrees
Element x y z (fractional)
Ca1 0.750 0.750 0.750
Mn1 0.000 0.000 0.000
Se1 0.878 0.374 0.374
Se2 0.374 0.374 0.374
Se3 0.374 0.374 0.878
Se4 0.374 0.878 0.374

- SG: F-43m, No. 216
- Formation energy without anion corrections: 25 meV/atom



CaMnSi: single point on PBEsol structure, meta-GGA SCAN.

Cell lengths 3.896, 3.896, 7.526 Å; angles 90.00, 90.00, 90.00 degrees
Element x y z (fractional)
Ca1 0.000 0.500 0.327
Ca2 0.500 0.000 0.673
Mn1 0.500 0.500 0.000
Mn2 0.000 0.000 0.000
Si1 0.000 0.500 0.822
Si2 0.500 0.000 0.178

- SG: P4/nmm, No. 129
- Formation energy without anion corrections: -427 meV/atom



CaMn2Si: single point on PBEsol structure, meta-GGA SCAN.

Cell lengths 2.823, 2.823, 7.225 Å; angles 90.00, 90.00, 90.00 degrees
Element x y z (fractional)
Ca1 0.500 0.500 0.755
Mn1 0.000 0.000 0.074
Mn2 0.500 0.500 0.234
Si1 0.000 0.000 0.437

- SG: P4mm, No. 99
- Formation energy without anion corrections: 184 meV/atom



SrCaMn2: single point on PBEsol structure, meta-GGA SCAN.

Cell lengths 3.647, 5.155, 6.119 Å; angles 114.92, 107.34, 90.00 degrees
Element x y z (fractional)
Sr1 0.477 0.477 0.954
Ca1 0.264 0.764 0.528
Mn1 0.070 0.070 0.140
Mn2 0.689 0.189 0.378

- SG: Imm2, No. 44
- Energy of formation from the pure elements: 0.31 eV/atom



Sr2CaMn: single point on PBEsol structure, meta-GGA SCAN.

Cell lengths 3.962, 3.962, 11.425 Å; angles 80.01, 80.01, 60.00 degrees
Element x y z (fractional)
Sr1 0.268 0.268 0.197
Sr2 0.732 0.732 0.803
Ca1 0.500 0.500 0.500
Mn1 0.000 0.000 0.000

- SG: R-3m, No. 166
- Energy of formation from the pure elements: 0.29 eV/atom



SrCa2ZrMn: single point on PBEsol structure, meta-GGA SCAN.

Cell lengths 4.800, 5.684, 5.684 Å; angles 90.00, 90.00, 90.00 degrees
Element x y z (fractional)
Sr1 0.500 0.500 0.500
Ca1 0.000 0.000 0.500
Ca2 0.000 0.500 0.000
Mn1 0.000 0.000 0.000
Zr1 0.500 0.000 0.000

- SG: P4/mmm, No. 123
- Energy of formation from the pure elements: 0.31 eV/atom



CaTaMn2: single point on PBEsol structure, meta-GGA SCAN.

Cell lengths 2.919, 2.919, 9.247 Å; angles 80.92, 80.92, 60.00 degrees
Element x y z (fractional)
Ca1 0.257 0.257 0.230
Mn1 0.016 0.016 0.952
Mn2 0.741 0.741 0.778
Ta1 0.486 0.486 0.541

- SG: R3m, No. 160
- Energy of formation from the pure elements: 0.58 eV/atom



CaTaMn: single point on PBEsol structure, meta-GGA SCAN.

Cell lengths 4.472, 4.472, 4.472 Å; angles 60.00, 60.00, 60.00 degrees
Element x y z (fractional)
Ca1 0.000 0.000 0.000
Mn1 0.500 0.500 0.500
Ta1 0.750 0.750 0.750

- SG: F-43m, No. 216
- Energy of formation from the pure elements: 1.25 eV/atom



Ca2MnTc: single point on PBEsol structure, meta-GGA SCAN.

Cell lengths 4.223, 4.217, 4.535 Å; angles 90.00, 90.00, 90.00 degrees
Element x y z (fractional)
Ca1 0.000 0.000 0.000
Ca2 0.500 0.500 0.000
Mn1 0.500 0.000 0.500
Tc1 0.000 0.500 0.500

- SG: P4/mmm, No. 123
- Energy of formation from the pure elements: 0.60 eV/atom



Ca2MnTe: single point on PBEsol structure, meta-GGA SCAN.

Cell lengths 4.333, 4.230, 6.208 Å; angles 109.92, 90.00, 90.00 degrees
Element x y z (fractional)
Ca1 0.000 0.101 0.201
Ca2 0.500 0.396 0.791
Te1 0.500 0.681 0.361
Mn1 0.000 0.826 0.653

- SG: Amm2, No. 38
- Formation energy without anion corrections: -664 meV/atom



CaMnTe: single point on PBEsol structure, meta-GGA SCAN.

Cell lengths 3.709, 3.709, 5.902 Å; angles 108.32, 108.32, 90.00 degrees
Element x y z (fractional)
Ca1 0.000 0.000 0.000
Te1 0.694 0.694 0.387
Mn1 0.307 0.307 0.613

- SG: I4mm, No. 107
- Formation energy without anion corrections: -448 meV/atom



Ca2MnTe: single point on PBEsol structure, meta-GGA SCAN.

Cell lengths 4.178, 4.178, 6.345 Å; angles 90.00, 90.00, 90.00 degrees
Element x y z (fractional)
Ca1 0.000 0.000 0.959
Ca2 0.500 0.500 0.297
Te1 0.500 0.500 0.783
Mn1 0.000 0.000 0.461

- SG: P4mm, No. 99
- Formation energy without anion corrections: -438 meV/atom



CaMnTl2: single point on PBEsol structure, meta-GGA SCAN.

Cell lengths 4.284, 4.665, 4.665 Å; angles 90.00, 90.00, 90.00 degrees
Element x y z (fractional)
Ca1 0.500 0.000 0.000
Mn1 0.500 0.500 0.500
Tl1 0.000 0.000 0.500
Tl2 0.000 0.500 0.000

- SG: P4/mmm, No. 123
- Energy of formation from the pure elements: -0.19 eV/atom



Ca2MnTl: single point on PBEsol structure, meta-GGA SCAN.

Cell lengths 3.773, 3.773, 7.292 Å; angles 90.00, 90.00, 90.00 degrees
Element x y z (fractional)
Tl1 0.500 0.500 0.500
Mn1 0.500 0.500 0.000
Ca1 0.000 0.000 0.760
Ca2 0.000 0.000 0.240

- SG: P4/mmm, No. 123
- Energy of formation from the pure elements: -0.23 eV/atom



CaMn2Tl: single point on PBEsol structure, meta-GGA SCAN.

Cell lengths 3.557, 3.557, 6.623 Å; angles 90.00, 90.00, 90.00 degrees
Element x y z (fractional)
Ca1 0.500 0.500 0.500
Mn1 0.000 0.000 0.792
Mn2 0.000 0.000 0.208
Tl1 0.500 0.500 0.000

- SG: P4/mmm, No. 123
- Energy of formation from the pure elements: 0.16 eV/atom
- Excess energy over the best structure of this formula in the dataset: 201 meV/atom



Ca2MnTl: single point on PBEsol structure, meta-GGA SCAN.

Cell lengths 3.676, 5.235, 6.325 Å; angles 114.36, 106.89, 90.00 degrees
Element x y z (fractional)
Tl1 0.221 0.721 0.442
Mn1 0.531 0.531 0.063
Ca1 0.979 0.979 0.957
Ca2 0.769 0.269 0.538

- SG: Cm, No. 8
- Energy of formation from the pure elements: -0.18 eV/atom



CaMn2Tl: single point on PBEsol structure, meta-GGA SCAN.

Cell lengths 3.175, 3.175, 7.583 Å; angles 90.00, 90.00, 90.00 degrees
Element x y z (fractional)
Ca1 0.000 0.000 0.774
Mn1 0.500 0.500 0.078
Mn2 0.000 0.000 0.193
Tl1 0.500 0.500 0.456

- SG: P4mm, No. 99
- Energy of formation from the pure elements: -0.04 eV/atom
- Excess energy over the best structure of this formula in the dataset: 0 meV/atom



Ca2MnTl: single point on PBEsol structure, meta-GGA SCAN.

Cell lengths 3.744, 4.804, 6.303 Å; angles 90.00, 107.28, 90.00 degrees
Element x y z (fractional)
Tl1 0.563 0.500 0.125
Mn1 0.686 0.000 0.371
Ca1 0.970 0.000 0.940
Ca2 0.282 0.500 0.564

- SG: Amm2, No. 38
- Energy of formation from the pure elements: -0.22 eV/atom



CaMnW2: single point on PBEsol structure, meta-GGA SCAN.

Cell lengths 2.989, 4.814, 5.343 Å; angles 116.78, 106.25, 90.00 degrees
Element x y z (fractional)
Ca1 0.485 0.485 0.970
Mn1 0.725 0.225 0.451
W1 0.023 0.023 0.046
W2 0.267 0.767 0.533

- SG: Imm2, No. 44
- Energy of formation from the pure elements: 0.97 eV/atom
- Excess energy over the best structure of this formula in the dataset: 255 meV/atom



Ca2MnW: single point on PBEsol structure, meta-GGA SCAN.

Cell lengths 5.052, 5.052, 5.052 Å; angles 60.00, 60.00, 60.00 degrees
Element x y z (fractional)
Ca1 0.250 0.250 0.250
Ca2 0.750 0.750 0.750
Mn1 0.000 0.000 0.000
W1 0.500 0.500 0.500

- SG: Fm-3m, No. 225
- Energy of formation from the pure elements: 0.99 eV/atom
- Excess energy over the best structure of this formula in the dataset: 298 meV/atom



CaMnW2: single point on PBEsol structure, meta-GGA SCAN.

Cell lengths 2.970, 4.620, 5.474 Å; angles 114.92, 105.74, 90.00 degrees
Element x y z (fractional)
Ca1 0.000 0.500 0.000
Mn1 0.500 0.000 0.000
W1 0.224 0.224 0.448
W2 0.776 0.776 0.552

- SG: Immm, No. 71
- Energy of formation from the pure elements: 0.74 eV/atom
- Excess energy over the best structure of this formula in the dataset: 29 meV/atom



Ca2MnW: single point on PBEsol structure, meta-GGA SCAN.

Cell lengths 3.339, 5.266, 5.836 Å; angles 116.82, 106.62, 90.00 degrees
Element x y z (fractional)
Ca1 0.986 0.986 0.972
Ca2 0.781 0.281 0.561
Mn1 0.542 0.542 0.083
W1 0.192 0.692 0.384

- SG: Imm2, No. 44
- Energy of formation from the pure elements: 0.69 eV/atom
- Excess energy over the best structure of this formula in the dataset: 0 meV/atom



Calculated total energy across the listed records, respectively: -13.80 -18.55 -13.38 -18.58 -17.39 -18.09 -18.53 -15.01 -18.01 -13.07 -13.86 -16.80 -17.83 -17.80 -27.61 -30.25 -17.56 -19.37 -22.17 -19.15 -43.35 -27.71 -29.47 -27.67 -29.67 -27.70 -40.86 -25.83 -41.08 -26.13 eV per atom.